VASP calculation (PBE) on crystalline CuSn2Hg at its relaxed geometry.

E_tot, eV/atom: -3.02
Space-group type: R3m

Unit cell a=4.367 b=4.367 c=6.482 alpha=70.32 beta=70.32 gamma=60.00
Fractional positions:
Sn  0.277  0.277  0.170
Sn  0.062  0.062  0.815
Cu  0.662  0.662  0.013
Hg  0.500  0.500  0.501

***

VASP calculation (PBE) on crystalline Cu2Sn2Hg at its relaxed geometry.

Distance to the lowest polymorph of the same formula, meV per atom: 90
E_tot, eV/atom: -3.10
Space-group type: P4/mbm

Unit cell a=8.397 b=8.397 c=2.951 alpha=90.00 beta=90.00 gamma=90.00
Fractional positions:
Sn  0.360  0.860  0.000
Sn  0.140  0.360  0.000
Sn  0.640  0.140  0.000
Sn  0.860  0.640  0.000
Cu  0.655  0.845  0.500
Cu  0.845  0.345  0.500
Cu  0.155  0.655  0.500
Cu  0.345  0.155  0.500
Hg  0.500  0.500  0.000
Hg  0.000  0.000  0.000

***

The lowest E_tot belongs to which entry?
Cu2Sn2Hg